## CsBiBr2 (PBE)

Data for an optimized crystal structure of CsBiBr2.

Structure (POSCAR):
```
CsBiBr2
1.0
6.0816 0.0000 0.0000
0.0000 6.2622 0.0000
0.0000 0.0000 3.9995
Br Bi Cs
2 1 1
Direct
0.5000 0.0000 0.0000 Br
0.0000 0.5000 0.0000 Br
0.5000 0.5000 0.0000 Bi
0.0000 0.0000 0.5000 Cs
```

density of states at the Fermi level = 0.4076 states/eV per atom
E_form (uncorrected) = -0.90 eV per atom
M_tot = 0.000 μB per formula unit

## CsBi4Br12 (PBE)

Data for an optimized crystal structure of CsBi4Br12.

Structure (POSCAR):
```
CsBi4Br12
1.0
-1.2415 9.2845 -2.2995
2.3964 -4.9777 -7.9064
-8.1962 -3.5295 3.6601
Br Bi Cs
12 4 1
Direct
0.4841 0.1875 0.2967 Br
0.2967 0.1092 0.8125 Br
0.2967 0.4841 0.1875 Br
0.8125 0.2967 0.1092 Br
0.1092 0.8125 0.2967 Br
0.7033 0.5159 0.8125 Br
0.8125 0.7033 0.5159 Br
0.7033 0.8908 0.1875 Br
0.1875 0.2967 0.4841 Br
0.8908 0.1875 0.7033 Br
0.5159 0.8125 0.7033 Br
0.1875 0.7033 0.8908 Br
0.0000 0.5000 0.0000 Bi
0.5000 0.5000 0.5000 Bi
0.0000 0.0000 0.5000 Bi
0.5000 0.0000 0.0000 Bi
0.0000 0.0000 0.0000 Cs
```

density of states at the Fermi level = 0.2951 states/eV per atom
E_form (uncorrected) = -0.78 eV per atom
M_tot = 0.000 μB per formula unit

## Cs2BiBr (PBE)

Data for an optimized crystal structure of Cs2BiBr.

Structure (POSCAR):
```
Cs2BiBr
1.0
9.9842 0.0000 0.0000
0.0000 9.9842 0.0000
4.9921 4.9921 4.9888
Bi Cs Br
2 4 2
Direct
0.0000 0.0000 0.0000 Bi
0.7500 0.2500 0.5000 Bi
0.8750 0.8350 0.7500 Cs
0.1650 0.6250 0.2500 Cs
0.3750 0.4150 0.7500 Cs
0.5850 0.1250 0.2500 Cs
0.5000 0.5000 0.0000 Br
0.2500 0.7500 0.5000 Br
```

density of states at the Fermi level = 0.1635 states/eV per atom
E_form (uncorrected) = -0.66 eV per atom
M_tot = 2.000 μB per formula unit

## Cs2BiBr6 (PBE)

Data for an optimized crystal structure of Cs2BiBr6.

Structure (POSCAR):
```
Cs2BiBr6
1.0
-4.3553 2.6480 6.0577
5.5985 -5.4588 1.2382
8.9385 9.6664 2.2009
Br Bi Cs
12 2 4
Direct
0.9979 0.4989 0.6309 Br
0.3207 0.1603 0.8664 Br
0.5011 0.4989 0.6309 Br
0.4989 0.9979 0.1309 Br
0.1603 0.8397 0.3664 Br
0.0021 0.5011 0.1309 Br
0.8397 0.1603 0.8664 Br
0.8397 0.6793 0.8664 Br
0.1603 0.3207 0.3664 Br
0.5011 0.0021 0.6309 Br
0.6793 0.8397 0.3664 Br
0.4989 0.5011 0.1309 Br
0.3333 0.6667 0.2522 Bi
0.6667 0.3333 0.7522 Bi
0.6667 0.3333 0.3780 Cs
0.3333 0.6667 0.8780 Cs
0.0000 0.0000 0.6279 Cs
0.0000 0.0000 0.1279 Cs
```

density of states at the Fermi level = 0.4100 states/eV per atom
E_form (uncorrected) = -1.12 eV per atom
M_tot = 0.000 μB per formula unit

## CsBi2Br (PBE)

Data for an optimized crystal structure of CsBi2Br.

Structure (POSCAR):
```
CsBi2Br
1.0
0.0000 4.2101 4.2101
4.2101 0.0000 4.2101
4.2101 4.2101 0.0000
Br Bi Cs
1 2 1
Direct
0.0000 0.0000 0.0000 Br
0.7500 0.7500 0.7500 Bi
0.2500 0.2500 0.2500 Bi
0.5000 0.5000 0.5000 Cs
```

density of states at the Fermi level = 1.1223 states/eV per atom
E_form (uncorrected) = 0.25 eV per atom
M_tot = 0.000 μB per formula unit

## Cs2BiBr (PBE)

Data for an optimized crystal structure of Cs2BiBr.

Structure (POSCAR):
```
Cs2BiBr
1.0
-1.8761 1.8515 -3.0702
0.6179 -3.2463 -2.3353
-9.2547 -4.0659 3.2035
Bi Br Cs
1 1 2
Direct
0.5000 0.5000 0.5000 Bi
0.5000 0.5000 0.0000 Br
0.0000 0.0000 0.2144 Cs
0.0000 0.0000 0.7856 Cs
```

density of states at the Fermi level = 0.7181 states/eV per atom
E_form (uncorrected) = -0.90 eV per atom
M_tot = 0.001 μB per formula unit

## Cs3BiBr8 (PBE)

Data for an optimized crystal structure of Cs3BiBr8.

Structure (POSCAR):
```
Cs3BiBr8
1.0
8.1497 0.0000 0.0000
0.0000 8.1497 0.0000
-4.0748 -4.0748 8.2734
Br Cs Bi
8 3 1
Direct
0.8941 0.8941 0.2157 Br
0.3216 0.3216 0.2157 Br
0.6784 0.6784 0.7843 Br
0.3216 0.8941 0.2157 Br
0.6784 0.1059 0.7843 Br
0.1059 0.6784 0.7843 Br
0.8941 0.3216 0.2157 Br
0.1059 0.1059 0.7843 Br
0.2500 0.7500 0.5000 Cs
0.5000 0.5000 0.0000 Cs
0.7500 0.2500 0.5000 Cs
0.0000 0.0000 0.0000 Bi
```

density of states at the Fermi level = 1.3784 states/eV per atom
E_form (uncorrected) = -0.99 eV per atom
M_tot = 1.939 μB per formula unit

## CsBiBr2 (PBE)

Data for an optimized crystal structure of CsBiBr2.

Structure (POSCAR):
```
CsBiBr2
1.0
2.4395 0.0000 10.7243
-1.2197 2.1126 10.7243
-1.2197 -2.1126 10.7243
Bi Br Cs
1 2 1
Direct
0.0000 0.0000 0.0000 Bi
0.0890 0.0890 0.0890 Br
0.9110 0.9110 0.9110 Br
0.5000 0.5000 0.5000 Cs
```

density of states at the Fermi level = 0.2219 states/eV per atom
E_form (uncorrected) = -0.81 eV per atom
M_tot = 0.000 μB per formula unit

## CsBiBr2 (PBE)

Data for an optimized crystal structure of CsBiBr2.

Structure (POSCAR):
```
CsBiBr2
1.0
-4.5327 -0.5540 0.1153
-0.7119 -8.9904 -2.0151
-0.9303 -5.3173 8.1013
Br Cs Bi
4 2 2
Direct
0.6961 0.8000 0.9279 Br
0.1938 0.6628 0.3832 Br
0.4661 0.3945 0.9240 Br
0.4341 0.0939 0.3222 Br
0.8443 0.4408 0.2194 Cs
0.0557 0.0626 0.0309 Cs
0.4584 0.9291 0.6266 Bi
0.0302 0.6839 0.6691 Bi
```

E_form (uncorrected) = -1.08 eV per atom
M_tot = 0.000 μB per formula unit

## Cs2BiBr (PBE)

Data for an optimized crystal structure of Cs2BiBr.

Structure (POSCAR):
```
Cs2BiBr
1.0
-1.9998 -5.7884 2.1759
-5.6180 -0.4935 3.2301
-5.0958 -2.9302 -2.7723
Cs Br Bi
2 1 1
Direct
0.7500 0.7500 0.7500 Cs
0.2500 0.2500 0.2500 Cs
0.0000 0.0000 0.0000 Br
0.5000 0.5000 0.5000 Bi
```

density of states at the Fermi level = 1.8245 states/eV per atom
E_form (uncorrected) = -0.64 eV per atom
M_tot = 2.000 μB per formula unit

## CsCuBiBr5 (PBE)

Data for an optimized crystal structure of CsCuBiBr5.

Structure (POSCAR):
```
CsCuBiBr5
1.0
8.0501 0.0225 -0.0648
-2.3284 7.7061 -0.0648
-2.4523 -3.3124 9.9620
Br Cs Bi Cu
10 2 2 2
Direct
0.2277 0.3884 0.5788 Br
0.9221 0.0779 0.7500 Br
0.0779 0.9221 0.2500 Br
0.3068 0.8916 0.6072 Br
0.1084 0.6932 0.8928 Br
0.7723 0.6116 0.4212 Br
0.6116 0.7723 0.9212 Br
0.6932 0.1084 0.3928 Br
0.8916 0.3068 0.1072 Br
0.3884 0.2277 0.0788 Br
0.6468 0.3532 0.7500 Cs
0.3532 0.6468 0.2500 Cs
0.0000 0.0000 0.0000 Bi
0.0000 0.0000 0.5000 Bi
0.6937 0.3063 0.2500 Cu
0.3063 0.6937 0.7500 Cu
```

E_form (uncorrected) = -0.89 eV per atom
M_tot = 0.125 μB per formula unit

## Cs2Cu2BiBr6 (PBE)

Data for an optimized crystal structure of Cs2Cu2BiBr6.

Structure (POSCAR):
```
Cs2Cu2BiBr6
1.0
-3.9576 1.3312 6.5707
7.3501 -3.7920 0.5832
1.1100 7.6003 -0.8712
Br Bi Cu Cs
6 1 2 2
Direct
0.2964 0.1029 0.7957 Br
0.7036 0.8971 0.2043 Br
0.2196 0.4393 0.2791 Br
0.7804 0.5607 0.7209 Br
0.8065 0.1029 0.7957 Br
0.1935 0.8971 0.2043 Br
0.5000 0.0000 0.5000 Bi
0.0486 0.0973 0.1942 Cu
0.9514 0.9027 0.8058 Cu
0.2771 0.5541 0.7922 Cs
0.7229 0.4459 0.2078 Cs
```

density of states at the Fermi level = 0.0673 states/eV per atom
E_form (uncorrected) = -0.88 eV per atom
M_tot = 0.997 μB per formula unit

## Cs3Cu2BiBr9 (PBE)

Data for an optimized crystal structure of Cs3Cu2BiBr9.

Structure (POSCAR):
```
Cs3Cu2BiBr9
1.0
7.7411 0.0000 0.0000
-3.8706 6.7040 0.0000
0.0000 0.0000 9.5540
Cs Br Bi Cu
3 9 1 2
Direct
0.6667 0.3333 0.3252 Cs
0.0000 0.0000 0.0000 Cs
0.3333 0.6667 0.6748 Cs
0.1741 0.8259 0.3238 Br
0.3482 0.1741 0.6762 Br
0.5000 0.5000 0.0000 Br
0.8259 0.6518 0.6762 Br
0.6518 0.8259 0.3238 Br
0.8259 0.1741 0.6762 Br
0.1741 0.3482 0.3238 Br
0.0000 0.5000 0.0000 Br
0.5000 0.0000 0.0000 Br
0.0000 0.0000 0.5000 Bi
0.3333 0.6667 0.1363 Cu
0.6667 0.3333 0.8637 Cu
```

density of states at the Fermi level = 0.4183 states/eV per atom
E_form (uncorrected) = -1.01 eV per atom
M_tot = 0.020 μB per formula unit

## CsCuBiBr6 (PBE)

Data for an optimized crystal structure of CsCuBiBr6.

Structure (POSCAR):
```
CsCuBiBr6
1.0
7.1285 0.5301 -0.2251
4.0199 6.8308 -0.6270
-0.2420 -0.6540 7.9760
Br Cs Cu Bi
6 1 1 1
Direct
0.6135 0.3830 0.6578 Br
0.0358 0.5836 0.7157 Br
0.3931 0.6300 0.2311 Br
0.0713 0.3562 0.2928 Br
0.6497 0.9882 0.3548 Br
0.3501 0.0090 0.7395 Br
0.9053 0.0553 0.0011 Cs
0.3401 0.3198 0.5123 Cu
0.6409 0.6750 0.4949 Bi
```

density of states at the Fermi level = 0.0834 states/eV per atom
E_form (uncorrected) = -0.82 eV per atom
M_tot = 1.034 μB per formula unit

## Cs2CuBiBr6 (PBE)

Data for an optimized crystal structure of Cs2CuBiBr6.

Structure (POSCAR):
```
Cs2CuBiBr6
1.0
7.8974 0.0000 0.0000
3.9487 6.8393 0.0000
3.9487 2.2798 6.4482
Cs Br Cu Bi
2 6 1 1
Direct
0.2500 0.2500 0.2500 Cs
0.7500 0.7500 0.7500 Cs
0.7402 0.2598 0.7402 Br
0.7402 0.7402 0.2598 Br
0.7402 0.2598 0.2598 Br
0.2598 0.2598 0.7402 Br
0.2598 0.7402 0.7402 Br
0.2598 0.7402 0.2598 Br
0.5000 0.5000 0.5000 Cu
0.0000 0.0000 0.0000 Bi
```

E_form (uncorrected) = -1.08 eV per atom
M_tot = 0.000 μB per formula unit

## Cs2BiBr3F3 (PBE)

Data for an optimized crystal structure of Cs2BiBr3F3.

Structure (POSCAR):
```
Cs2BiBr3F3
1.0
3.5723 0.0000 0.0000
0.0000 9.5437 0.0000
0.0000 -4.7718 8.2650
Cs Br F Bi
2 3 3 1
Direct
0.5000 0.6667 0.3333 Cs
0.5000 0.3333 0.6667 Cs
0.0000 0.0000 0.3558 Br
0.0000 0.3558 0.0000 Br
0.0000 0.6442 0.6442 Br
0.5000 0.8347 0.0000 F
0.5000 0.1653 0.1653 F
0.5000 0.0000 0.8347 F
0.0000 0.0000 0.0000 Bi
```

density of states at the Fermi level = 0.5217 states/eV per atom
E_form (uncorrected) = -1.66 eV per atom
M_tot = 0.171 μB per formula unit

## CsGa2BiBr (PBE)

Data for an optimized crystal structure of CsGa2BiBr.

Structure (POSCAR):
```
CsGa2BiBr
1.0
6.5428 0.0000 0.0000
0.0000 6.5428 0.0000
0.0000 0.0000 6.1606
Ga Br Cs Bi
2 1 1 1
Direct
0.0000 0.5000 0.0000 Ga
0.5000 0.0000 0.0000 Ga
0.0000 0.0000 0.5000 Br
0.0000 0.0000 0.0000 Cs
0.5000 0.5000 0.5000 Bi
```

density of states at the Fermi level = 0.8426 states/eV per atom
E_form (uncorrected) = 0.67 eV per atom
M_tot = 1.083 μB per formula unit

## CsGe2BiBr8 (PBE)

Data for an optimized crystal structure of CsGe2BiBr8.

Structure (POSCAR):
```
CsGe2BiBr8
1.0
7.4593 0.3871 0.2075
0.4981 6.8091 -0.1528
0.2378 -0.3323 10.3488
Br Bi Ge Cs
8 1 2 1
Direct
0.1913 0.7755 0.1872 Br
0.3869 0.2626 0.6015 Br
0.3077 0.2274 0.9766 Br
0.6131 0.7374 0.3985 Br
0.1388 0.7206 0.7863 Br
0.8612 0.2794 0.2137 Br
0.6923 0.7726 0.0234 Br
0.8087 0.2245 0.8128 Br
0.0000 0.0000 0.0000 Bi
0.4400 0.4395 0.8045 Ge
0.5600 0.5605 0.1955 Ge
0.0000 0.0000 0.5000 Cs
```

density of states at the Fermi level = 0.0000 states/eV per atom
E_form (uncorrected) = -0.81 eV per atom
M_tot = 0.000 μB per formula unit

## CsHg2BiBr8 (PBE)

Data for an optimized crystal structure of CsHg2BiBr8.

Structure (POSCAR):
```
CsHg2BiBr8
1.0
-1.9316 -5.5985 -3.6484
7.8552 -1.5813 -1.1218
4.1610 -6.9616 6.6659
Hg Bi Cs Br
2 1 1 8
Direct
0.4434 0.2531 0.7024 Hg
0.5566 0.7469 0.2976 Hg
0.0000 0.0000 0.0000 Bi
0.0000 0.0000 0.5000 Cs
0.5326 0.7101 0.5528 Br
0.7045 0.6940 0.0817 Br
0.1572 0.7790 0.2607 Br
0.7527 0.1294 0.1648 Br
0.4674 0.2899 0.4472 Br
0.8428 0.2210 0.7393 Br
0.2473 0.8706 0.8352 Br
0.2955 0.3060 0.9183 Br
```

density of states at the Fermi level = 0.0000 states/eV per atom
E_form (uncorrected) = -0.77 eV per atom
M_tot = 0.000 μB per formula unit

## CsBiIBr2 (PBE)

Data for an optimized crystal structure of CsBiIBr2.

Structure (POSCAR):
```
CsBiIBr2
1.0
-2.4094 -4.3001 -3.3537
3.6633 1.4397 -4.4778
4.2833 -4.1038 2.1847
Br Cs I Bi
2 1 1 1
Direct
0.0000 0.5000 0.0000 Br
0.5000 0.0000 0.0000 Br
0.5000 0.5000 0.5000 Cs
0.0000 0.0000 0.5000 I
0.0000 0.0000 0.0000 Bi
```

density of states at the Fermi level = 0.0696 states/eV per atom
E_form (uncorrected) = -0.96 eV per atom
M_tot = 0.000 μB per formula unit

| no. | electronic total energy (eV/atom) |
| --- | --- |
| 1 | -2.92 |
| 2 | -2.93 |
| 3 | -2.47 |
| 4 | -2.86 |
| 5 | -2.33 |
| 6 | -2.71 |
| 7 | -2.64 |
| 8 | -2.83 |
| 9 | -3.10 |
| 10 | -2.46 |
| 11 | -3.04 |
| 12 | -3.04 |
| 13 | -2.99 |
| 14 | -2.92 |
| 15 | -3.05 |
| 16 | -3.46 |
| 17 | -1.83 |
| 18 | -3.09 |
| 19 | -2.33 |
| 20 | -2.89 |